A plane-wave DFT calculation with PBE was carried out for a geometry-optimized PuMgScZn structure.

Results
Magnetization, μB/f.u.: 6.2
Raw total energy, eV/cell: -23.47
Energy of formation from the pure elements, eV/atom: 0.02

Lattice parameters (Å, degrees): 5.0390 5.0390 5.0390 60.00 60.00 60.00
Atoms (fractional coordinates):
Mg: 0.5000 0.5000 0.5000
Pu: 0.2500 0.2500 0.2500
Zn: 0.0000 0.0000 0.0000
Sc: 0.7500 0.7500 0.7500